Arrangement i

VASP calculation (GGA-PBE) on AlCuAu after structural relaxation.

```
data_AlCuAu
_space_group_name_H-M_alt 'P 1'
_space_group_IT_number 1
_space_group_name_Hall 'P 1'
_cell_length_a 4.7639
_cell_length_b 4.7639
_cell_length_c 4.7639
_cell_angle_alpha 139.77
_cell_angle_beta 139.77
_cell_angle_gamma 58.20
loop_
_atom_site_label
_atom_site_fract_x
_atom_site_fract_y
_atom_site_fract_z
Au1 0.3351 0.3351 0.0000
Al1 0.0065 0.0065 0.0000
Cu1 0.6583 0.6583 0.0000
```

## Properties
- Calculated density: 10.683 g/cm³
- Crystal system: tetragonal

---

Arrangement ii

VASP calculation (GGA-PBE) on AlCuAu after structural relaxation.

```
data_AlCuAu
_space_group_name_H-M_alt 'P 1'
_space_group_IT_number 1
_space_group_name_Hall 'P 1'
_cell_length_a 4.6375
_cell_length_b 4.6466
_cell_length_c 7.0517
_cell_angle_alpha 64.11
_cell_angle_beta 75.89
_cell_angle_gamma 44.98
loop_
_atom_site_label
_atom_site_fract_x
_atom_site_fract_y
_atom_site_fract_z
Au1 0.5997 0.8619 0.2408
Au2 0.4049 0.1414 0.7636
Al1 0.3313 0.4766 0.3565
Al2 0.6734 0.5268 0.6480
Cu1 0.1419 0.7090 0.9343
Cu2 0.8622 0.2941 0.0703
```

## Properties
- Calculated density: 9.934 g/cm³
- Crystal system: triclinic

---

Stability verdict: arrangement i, ahead by 26 meV per atom

---

Arrangement i

VASP calculation (GGA-PBE) on AlCuAu after structural relaxation.

```
data_AlCuAu
_space_group_name_H-M_alt 'P 1'
_space_group_IT_number 1
_space_group_name_Hall 'P 1'
_cell_length_a 4.2310
_cell_length_b 4.2310
_cell_length_c 4.2310
_cell_angle_alpha 60.00
_cell_angle_beta 60.00
_cell_angle_gamma 60.00
loop_
_atom_site_label
_atom_site_fract_x
_atom_site_fract_y
_atom_site_fract_z
Al1 0.5000 0.5000 0.5000
Cu1 0.0000 0.0000 0.0000
Au1 0.7500 0.7500 0.7500
```

## Properties
- Calculated density: 8.914 g/cm³
- Crystal system: cubic

---

Arrangement ii

VASP calculation (GGA-PBE) on AlCuAu after structural relaxation.

```
data_AlCuAu
_space_group_name_H-M_alt 'P 1'
_space_group_IT_number 1
_space_group_name_Hall 'P 1'
_cell_length_a 4.2890
_cell_length_b 4.2890
_cell_length_c 2.8564
_cell_angle_alpha 90.00
_cell_angle_beta 90.00
_cell_angle_gamma 120.00
loop_
_atom_site_label
_atom_site_fract_x
_atom_site_fract_y
_atom_site_fract_z
Au1 0.6667 0.3333 0.2929
Al1 0.0000 0.0000 0.9874
Cu1 0.3333 0.6667 0.7197
```

## Properties
- Calculated density: 10.491 g/cm³
- Crystal system: trigonal

---

Stability verdict: arrangement ii, ahead by 38 meV per atom